[1]
18
Lattice="-5.477 -1.303 -4.210 -0.580 -7.844 3.182 -0.510 6.465 4.532" Properties=species:S:1:pos:R:3 comment="AcZnBPt6 (GGA-PBE, optimized geometry)" spacegroup="Imma, No. 74" magmom_total_mub_per_cell=0.00 delta_e_f_ev_per_fu=-3.8 pbc="T T T"
B -2.739 -0.652 -2.105
B -3.028 -4.574 -0.514
Pt -3.276 -0.287 4.350
Pt -5.451 2.837 0.343
Pt -4.215 -2.905 3.737
Pt -1.438 1.850 3.943
Pt -3.907 1.263 2.046
Pt -3.292 -2.394 -0.846
Pt -2.661 -3.944 1.458
Pt -2.353 0.223 -0.233
Pt -1.746 -2.317 5.634
Pt -4.821 -0.364 -2.130
Pt -1.117 -5.518 3.161
Pt -5.129 -4.532 -0.439
Zn -0.255 3.233 2.266
Zn -2.994 2.581 0.161
Ac -1.320 -1.333 2.130
Ac -5.247 -1.349 1.374


[2]
6
Lattice="3.430 0.000 0.000 0.000 3.430 0.000 0.000 0.000 10.486" Properties=species:S:1:pos:R:3 comment="Ho3Ni2Ag (GGA-PBE, optimized geometry)" spacegroup="P4/mmm, No. 123" magmom_total_mub_per_cell=0.00 delta_e_f_ev_per_fu=-2.3 pbc="T T T"
Ni 1.715 1.715 1.675
Ni 1.715 1.715 8.811
Ag 1.715 1.715 5.243
Ho 0.000 0.000 7.217
Ho 0.000 0.000 0.000
Ho 0.000 0.000 3.269


[3]
10
Lattice="-0.561 -4.348 0.684 2.825 -0.885 -3.305 7.946 0.041 6.781" Properties=species:S:1:pos:R:3 comment="Ba2GaCu4Ge3 (GGA-PBE, optimized geometry)" spacegroup="P-4m2, No. 115" magmom_total_mub_per_cell=0.00 delta_e_f_ev_per_fu=-2.8 pbc="T T T"
Ga 5.105 -2.596 2.080
Ge 6.728 -2.138 6.323
Ge 3.973 0.020 3.390
Ge 2.350 -0.438 -0.853
Cu 4.387 -0.427 0.886
Cu 1.132 -2.617 -1.311
Cu 4.691 -2.149 4.585
Cu 0.000 0.000 0.000
Ba 7.406 -0.412 3.462
Ba 1.671 -2.164 2.008


[4]
5
Lattice="4.655 0.000 0.000 0.000 4.456 0.000 0.000 0.000 4.655" Properties=species:S:1:pos:R:3 comment="HfNiAg2Mo (GGA-PBE, optimized geometry)" spacegroup="P4/mmm, No. 123" magmom_total_mub_per_cell=0.00 delta_e_f_ev_per_fu=4.3 pbc="T T T"
Mo 0.000 2.228 0.000
Hf 2.328 2.228 2.328
Ag 0.000 0.000 2.328
Ag 2.328 0.000 0.000
Ni 0.000 0.000 0.000


[5]
8
Lattice="-1.966 4.669 3.863 -1.741 -1.335 5.981 3.660 1.856 4.873" Properties=species:S:1:pos:R:3 comment="NaThF6 (GGA-PBE, optimized geometry)" formation_energy_uncorrected_mev_per_atom=-3163 spacegroup="Fm-3m, No. 225" polymorph_energy_ev_per_atom=0.0180 magmom_total_mub_per_cell=1.11 pbc="T T T"
F -1.828 2.956 8.576
F -0.975 3.611 5.646
F 0.818 4.520 8.033
F 1.781 2.233 6.141
F -0.865 0.670 6.684
F 0.928 1.579 9.071
Na 0.000 0.000 0.000
Th -0.024 2.595 7.359


[6]
5
Lattice="4.711 0.000 0.000 0.000 4.755 0.000 0.000 0.000 4.711" Properties=species:S:1:pos:R:3 comment="LiFe2MoPd (GGA-PBE, optimized geometry)" spacegroup="P4/mmm, No. 123" magmom_total_mub_per_cell=7.97 delta_e_f_ev_per_fu=7.0 pbc="T T T"
Pd 0.000 0.000 0.000
Li 2.355 2.377 2.355
Mo 0.000 2.377 0.000
Fe 0.000 0.000 2.355
Fe 2.355 0.000 0.000


[7]
5
Lattice="-1.893 -5.763 0.087 4.940 -1.670 -3.100 2.969 -0.896 5.214" Properties=species:S:1:pos:R:3 comment="Tl3SnI (GGA-PBE, optimized geometry)" formation_energy_uncorrected_mev_per_atom=22 spacegroup="Pm-3m, No. 221" polymorph_energy_ev_per_atom=0.0000 magmom_total_mub_per_cell=0.00 pbc="T T T"
Sn 0.000 0.000 0.000
I 3.008 -4.164 1.101
Tl 1.484 -0.448 2.607
Tl -0.947 -2.881 0.044
Tl 2.470 -0.835 -1.550


[8]
12
Lattice="-0.585 -2.682 -0.099 1.504 1.002 2.069 -22.491 4.381 14.220" Properties=species:S:1:pos:R:3 comment="OsPt4Rh7 (GGA-PBE, optimized geometry)" spacegroup="P-3m1, No. 164" magmom_total_mub_per_cell=0.00 delta_e_f_ev_per_fu=-0.1 pbc="T T T"
Pt -19.796 3.787 14.373
Pt -1.777 -1.086 1.818
Pt -7.391 0.007 5.367
Pt -14.182 2.694 10.824
Rh -2.979 0.511 3.740
Rh -12.939 1.088 8.875
Rh 0.000 0.000 0.000
Rh -16.904 3.293 10.688
Rh -5.587 1.088 3.532
Rh -8.634 1.613 7.316
Rh -18.594 2.189 12.450
Os -11.246 2.190 7.110


[9]
12
Lattice="7.214 0.000 0.000 0.000 6.771 0.000 0.000 -3.385 5.710" Properties=species:S:1:pos:R:3 comment="Li2AsSeS2 (GGA-PBE, optimized geometry)" formation_energy_uncorrected_mev_per_atom=-667 spacegroup="Cmc2_1, No. 36" magmom_total_mub_per_cell=0.00 pbc="T T T"
As 2.037 5.516 0.000
As 5.644 1.255 0.000
S 1.291 4.486 1.829
S 4.898 2.285 1.829
S 4.898 -1.101 3.881
S 1.291 1.101 3.881
Li 2.387 -1.117 3.726
Li 5.994 1.117 3.726
Li 5.994 4.502 1.985
Li 2.387 2.269 1.985
Se 1.234 0.980 0.000
Se 4.841 5.791 0.000


[10]
11
Lattice="5.651 0.000 0.000 0.000 3.496 0.000 -2.826 -1.748 17.442" Properties=species:S:1:pos:R:3 comment="Na3Tl4Bi4 (GGA-PBE, optimized geometry)" spacegroup="Immm, No. 71" magmom_total_mub_per_cell=0.00 delta_e_f_ev_per_fu=-0.8 pbc="T T T"
Tl 0.000 0.000 15.857
Tl 2.826 1.748 1.585
Tl 2.826 0.000 11.098
Tl 0.000 1.748 6.344
Bi 0.000 0.000 9.425
Bi 2.826 0.000 14.362
Bi 0.000 1.748 3.080
Bi 2.826 1.748 8.017
Na 0.000 1.748 12.728
Na 2.826 0.000 4.713
Na 0.000 0.000 0.000


[11]
14
Lattice="5.575 0.003 1.125 2.761 9.344 0.698 1.064 -3.277 9.141" Properties=species:S:1:pos:R:3 comment="Pr3Nd3Er8 (GGA-PBE, optimized geometry)" spacegroup="Immm, No. 71" magmom_total_mub_per_cell=0.00 delta_e_f_ev_per_fu=1.5 pbc="T T T"
Pr 2.787 0.002 0.562
Pr 2.441 6.964 2.290
Pr 1.384 -0.896 7.548
Er 7.033 2.715 8.300
Er 2.366 3.356 2.664
Er 2.019 0.774 4.391
Er 4.612 -0.719 5.923
Er 7.380 5.296 6.573
Er 4.042 1.247 8.748
Er 4.787 6.789 5.040
Er 5.357 4.823 2.216
Nd 4.165 4.874 8.124
Nd 5.234 1.196 2.839
Nd 4.699 3.035 5.482